Li7Co5O12 | the Alexandria database | PBE+U | optimized geometry; electronic total energy = -5.5510 eV per atom; magnetization = 2.03 μB per cell; SG = P-1; N(E_F) = 3.8 states/eV/f.u.
1.0
5.680 0.005 -0.007
-1.426 6.259 0.002
-2.824 -1.434 5.546
Li O Co
7 12 5
direct
0.254 0.327 0.833
0.251 0.000 0.504
0.746 0.673 0.167
0.257 0.674 0.166
0.743 0.326 0.834
0.749 0.000 0.496
0.500 0.000 0.000
0.867 0.347 0.562
0.643 0.982 0.761
0.371 0.350 0.563
0.641 0.339 0.111
0.128 0.318 0.097
0.359 0.661 0.889
0.133 0.653 0.438
0.872 0.682 0.903
0.109 0.982 0.761
0.891 0.018 0.239
0.357 0.018 0.239
0.629 0.650 0.437
0.500 0.331 0.328
0.500 0.669 0.672
0.996 0.332 0.330
0.004 0.668 0.670
0.000 0.000 0.000

***

Na3CoMo3O8 | the Alexandria database | PBE+U | optimized geometry; electronic total energy = -6.2202 eV per atom; magnetization = 8.00 μB per cell; SG = C2/m
1.0
-0.866 4.190 4.641
-4.503 -0.919 -4.303
1.078 -4.703 4.446
O Mo Na Co
8 3 3 1
direct
0.773 0.023 0.310
0.227 0.977 0.690
0.782 0.565 0.309
0.271 0.542 0.292
0.218 0.435 0.691
0.750 0.977 0.690
0.250 0.023 0.310
0.729 0.458 0.708
0.000 0.500 0.500
0.500 0.000 0.500
0.500 0.500 0.500
0.000 0.000 0.000
0.000 0.500 0.000
0.500 0.500 0.000
0.000 0.000 0.500